[1]
An optimized crystal structure of LiZrS2, computed with PBE.

Calculated values
**Symmetry**: No. 225
**Formation energy from raw total energies**: -1.092 eV per atom
**Total magnetic moment**: 0.250 μB/atom
**Uncorrected energy**: -23.08 eV for the cell shown

Cell lengths 4.5402, 4.5402, 4.5402 Å; angles 60.00, 60.00, 60.00 degrees
Sites, in units of the cell vectors:
Li1 0.0000 0.0000 0.0000
Zr1 0.5000 0.5000 0.5000
S1 0.2500 0.2500 0.2500
S2 0.7500 0.7500 0.7500

[2]
An optimized crystal structure of LaHf3Se, computed with PBE.

Calculated values
**Excess energy over the best structure of this formula in the dataset**: 1574 meV per atom
**Symmetry**: No. 221
**Formation energy from raw total energies**: 1.549 eV per atom
**Total magnetic moment**: 0.000 μB/atom
**Uncorrected energy**: -30.53 eV for the cell shown

Cell lengths 5.1594, 5.1594, 5.1594 Å; angles 90.00, 90.00, 90.00 degrees
Sites, in units of the cell vectors:
La1 0.0000 0.0000 0.0000
Hf1 0.0000 0.0000 0.5000
Hf2 0.0000 0.5000 0.0000
Hf3 0.5000 0.0000 0.0000
Se1 0.5000 0.5000 0.5000

[3]
An optimized crystal structure of TmPuCdSi, computed with PBE.

Calculated values
**Symmetry**: No. 216
**Formation energy from raw total energies**: -0.221 eV per atom
**Total magnetic moment**: 1.563 μB/atom
**Uncorrected energy**: -26.03 eV for the cell shown

Cell lengths 5.0945, 5.0945, 5.0945 Å; angles 60.00, 60.00, 60.00 degrees
Sites, in units of the cell vectors:
Tm1 0.0000 0.0000 0.0000
Pu1 0.5000 0.5000 0.5000
Cd1 0.2500 0.2500 0.2500
Si1 0.7500 0.7500 0.7500

[4]
An optimized crystal structure of PaHgTe3, computed with PBE.

Calculated values
**Excess energy over the best structure of this formula in the dataset**: 0 meV per atom
**Symmetry**: No. 12
**Formation energy from raw total energies**: -0.536 eV per atom
**Total magnetic moment**: 0.028 μB/atom
**Uncorrected energy**: -43.80 eV for the cell shown

Cell lengths 10.5880, 10.5880, 8.1663 Å; angles 100.55, 100.55, 24.91 degrees
Sites, in units of the cell vectors:
Pa1 0.2180 0.2180 0.2310
Pa2 0.7820 0.7820 0.7690
Hg1 0.4657 0.4657 0.6271
Hg2 0.5343 0.5343 0.3729
Te1 0.0705 0.0705 0.1921
Te2 0.1942 0.1942 0.5987
Te3 0.3286 0.3286 0.0175
Te4 0.6714 0.6714 0.9825
Te5 0.8058 0.8058 0.4013
Te6 0.9295 0.9295 0.8079

Question: What is the uncorrected energy in the second record?
Answer: -30.53 eV for the cell shown